1.
{"formula": "Pa2B10Os", "functional": "GGA-PBE", "state": "optimized geometry", "lattice": [[5.665, 0.000, 0.000], [0.000, 11.326, 0.000], [0.000, 0.000, 4.145]], "species": ["Pa", "Pa", "Pa", "Pa", "B", "B", "B", "B", "B", "B", "B", "B", "B", "B", "B", "B", "B", "B", "B", "B", "B", "B", "B", "B", "Os", "Os"], "fractional_positions": [[0.215, 0.133, 0.000], [0.285, 0.633, 0.000], [0.715, 0.367, 0.000], [0.785, 0.867, 0.000], [0.058, 0.306, 0.500], [0.117, 0.958, 0.500], [0.131, 0.803, 0.500], [0.221, 0.380, 0.197], [0.221, 0.380, 0.803], [0.279, 0.880, 0.197], [0.279, 0.880, 0.803], [0.369, 0.303, 0.500], [0.383, 0.458, 0.500], [0.442, 0.806, 0.500], [0.558, 0.194, 0.500], [0.617, 0.542, 0.500], [0.631, 0.697, 0.500], [0.721, 0.120, 0.197], [0.721, 0.120, 0.803], [0.779, 0.620, 0.197], [0.779, 0.620, 0.803], [0.869, 0.197, 0.500], [0.883, 0.042, 0.500], [0.942, 0.694, 0.500], [0.000, 0.500, 0.500], [0.500, 0.000, 0.500]], "delta_e_f_ev_per_atom": -0.50, "space_group": "No. 55", "vol_a3_per_cell": 265.96}

2.
{"formula": "BeAuN3", "functional": "GGA-PBE", "state": "optimized geometry", "lattice": [[4.040, 0.000, 0.000], [0.000, 4.040, 0.000], [0.000, 0.000, 4.040]], "species": ["Be", "Au", "N", "N", "N"], "fractional_positions": [[0.000, 0.000, 0.000], [0.500, 0.500, 0.500], [0.000, 0.500, 0.500], [0.500, 0.000, 0.500], [0.500, 0.500, 0.000]], "space_group": "No. 221", "vol_a3_per_cell": 65.93, "formation_energy_uncorrected_ev_per_atom": 2.67}

3.
{"formula": "Cu4RhAu", "functional": "GGA-PBE", "state": "optimized geometry", "lattice": [[0.000, 3.417, 3.417], [3.417, 0.000, 3.417], [3.417, 3.417, 0.000]], "species": ["Cu", "Cu", "Cu", "Cu", "Rh", "Au"], "fractional_positions": [[0.125, 0.125, 0.125], [0.125, 0.125, 0.624], [0.125, 0.624, 0.125], [0.624, 0.125, 0.125], [0.500, 0.500, 0.500], [0.750, 0.750, 0.750]], "delta_e_f_ev_per_atom": 0.06, "space_group": "No. 216", "e_above_lowest_polymorph_mev_per_atom": 29.8, "vol_a3_per_cell": 79.78}